Cd2FeRh: optimized geometry, PBE.

```
4
Lattice="1.453 0.839 9.132 -1.453 0.839 9.132 0.000 -1.678 9.132" Properties=species:S:1:pos:R:3 pbc="T T T"
Cd 0.000 0.000 6.849
Cd 0.000 0.000 20.547
Fe 0.000 0.000 0.000
Rh 0.000 0.000 13.698
```

Computed properties:
Density of states at the Fermi level = 1.0588 states/eV per atom
Symmetry = No. 166
Total magnetization = 3.04 μB/f.u.
Density = 9.5 Mg/m³
DFT formation energy = 21 kJ per mole of atoms
Electronic total energy = -16.8 eV for the cell shown